--- P ---
! MnHg3O PBE+U optimized geometry; values from VASP
! N(E_F)	2.7	states/eV per cell
! SG	Pm-3m (221)
! size of the total moment	4.76	μB/f.u.
&SYSTEM
  ibrav = 0, nat = 5, ntyp = 3
/
ATOMIC_SPECIES
Mn 54.94 Mn.upf
Hg 200.59 Hg.upf
O 16.00 O.upf
ATOMIC_POSITIONS angstrom
Mn -0.348 -1.971 -3.707
Hg -0.818 1.010 -2.056
Hg -1.368 -1.967 -0.422
Hg 1.838 -1.015 -1.229
O 0.000 0.000 0.000
CELL_PARAMETERS angstrom
-1.635 2.020 -4.113
3.675 -2.029 -2.458
-2.736 -3.933 -0.844

--- Q ---
! MnHg3O PBE+U optimized geometry; values from VASP
! N(E_F)	21.2	states/eV per cell
! SG	Pm-3m (221)
! size of the total moment	4.92	μB/f.u.
&SYSTEM
  ibrav = 0, nat = 5, ntyp = 3
/
ATOMIC_SPECIES
O 16.00 O.upf
Hg 200.59 Hg.upf
Mn 54.94 Mn.upf
ATOMIC_POSITIONS angstrom
O 2.710 2.710 2.710
Hg 2.710 0.000 0.000
Hg 0.000 0.000 2.710
Hg 0.000 2.710 0.000
Mn 0.000 0.000 0.000
CELL_PARAMETERS angstrom
5.419 0.000 0.000
0.000 5.419 0.000
0.000 0.000 5.419

Which of them is most stable? Easy: P.

--- P ---
! MnHgP2O PBE+U optimized geometry; values from VASP
! N(E_F)	4.1	states/eV per cell
! SG	P4/mmm (123)
! size of the total moment	3.34	μB/f.u.
&SYSTEM
  ibrav = 0, nat = 5, ntyp = 4
/
ATOMIC_SPECIES
P 30.97 P.upf
O 16.00 O.upf
Mn 54.94 Mn.upf
Hg 200.59 Hg.upf
ATOMIC_POSITIONS angstrom
P 0.000 2.533 0.000
P 2.533 0.000 0.000
O 0.000 0.000 2.060
Mn 2.533 2.533 2.060
Hg 0.000 0.000 0.000
CELL_PARAMETERS angstrom
5.066 0.000 0.000
0.000 5.066 0.000
0.000 0.000 4.119

--- Q ---
! MnHgP2O PBE+U optimized geometry; values from VASP
! N(E_F)	2.1	states/eV per cell
! SG	P4/mmm (123)
! size of the total moment	0.00	μB/f.u.
&SYSTEM
  ibrav = 0, nat = 5, ntyp = 4
/
ATOMIC_SPECIES
P 30.97 P.upf
Mn 54.94 Mn.upf
O 16.00 O.upf
Hg 200.59 Hg.upf
ATOMIC_POSITIONS angstrom
P -1.217 1.916 0.738
P -1.368 -1.397 1.370
Mn 0.000 0.000 0.000
O 1.105 0.199 1.306
Hg -1.481 0.718 3.414
CELL_PARAMETERS angstrom
-2.435 3.832 1.476
-2.736 -2.793 2.739
2.209 0.398 2.612

Which of them is most stable? Easy: Q.